# 1
A plane-wave DFT calculation with GGA-PBEsol was carried out for a relaxed TlSe2 crystal. Values from VASP.

```
&SYSTEM
  ibrav = 0, nat = 6, ntyp = 2
/
ATOMIC_SPECIES
Se 78.96 Se.upf
Tl 204.38 Tl.upf
CELL_PARAMETERS angstrom
-4.210 0.118 -1.981
-2.343 -1.270 4.903
-0.520 6.784 1.509
ATOMIC_POSITIONS crystal
Se 0.000 0.828 0.406
Se 0.000 0.172 0.594
Se 0.500 0.328 0.094
Se 0.500 0.672 0.906
Tl 0.000 0.000 0.000
Tl 0.500 0.500 0.500
```

SG: No. 58
Energy above the most stable polymorph in this dataset: 40 meV/atom

# 2
A plane-wave DFT calculation with GGA-PBEsol was carried out for a relaxed TlSe crystal. Values from VASP.

```
&SYSTEM
  ibrav = 0, nat = 4, ntyp = 2
/
ATOMIC_SPECIES
Tl 204.38 Tl.upf
Se 78.96 Se.upf
CELL_PARAMETERS angstrom
-2.042 -3.666 1.230
1.652 -2.308 -4.133
5.628 0.193 2.142
ATOMIC_POSITIONS crystal
Tl 0.147 0.250 0.294
Tl 0.853 0.750 0.706
Se 0.537 0.750 0.075
Se 0.463 0.250 0.925
```

Total DFT energy (no corrections): -13.619 eV/cell
SG: No. 63